# ZnCr2In2

ZnCr2In2 after structural relaxation (GGA-PBE, Alexandria).

The structure in POSCAR format:
```
ZnCr2In2
1.0
-3.404 4.834 2.516
-5.090 -3.881 0.570
1.268 -1.100 3.829
Cr In Zn
4 4 2
Cartesian
-6.144 1.888 2.576 Cr
-2.683 2.527 1.614 Cr
-2.350 -0.934 0.510 Cr
-5.811 -1.574 1.472 Cr
-3.794 2.173 4.163 In
-5.856 -0.453 4.091 In
-1.370 0.306 2.824 In
-3.432 -2.320 2.753 In
-4.247 0.477 1.543 Zn
0.000 0.000 0.000 Zn
```

Values from the calculation:
total magnetic moment = 1.71 μB/f.u.
ΔE_f = 0.35 eV/atom
E above lowest polymorph = 0.00 kJ per mole of atoms